1.
## PaGe2Mo2 (PBE-GGA)

Data for a relaxed PaGe2Mo2 crystal.

Summary:
VASP energy (eV for the cell shown): -79.93
DFT formation energy (eV/atom): 0.09

POSCAR file:
```
PaGe2Mo2
1.0
6.9509 0.7300 0.2478
-1.6713 6.7863 0.2478
-2.4375 -3.4702 3.8815
Ge Pa Mo
4 2 4
Direct
0.8057 0.6943 0.2500
0.6143 0.8857 0.7500
0.1943 0.3057 0.7500
0.3857 0.1143 0.2500
0.1046 0.3954 0.2500
0.8954 0.6046 0.7500
0.2199 0.9091 0.4185
0.7801 0.0909 0.5815
0.4091 0.7199 0.9185
0.5909 0.2801 0.0815
```



2.
## Sr2AsPd2 (PBE-GGA)

Data for a relaxed Sr2AsPd2 crystal.

Summary:
VASP energy (eV for the cell shown): -21.34
DFT formation energy (eV/atom): -0.59

POSCAR file:
```
Sr2AsPd2
1.0
5.9315 0.0000 0.0000
0.0000 5.9315 0.0000
2.9657 2.9657 3.8015
Sr As Pd
2 1 2
Direct
0.2500 0.7500 0.5000
0.7500 0.2500 0.5000
0.0000 0.0000 0.0000
0.3279 0.3279 0.3442
0.6721 0.6721 0.6558
```



3.
## LaScCr2 (PBE-GGA)

Data for a relaxed LaScCr2 crystal.

Summary:
VASP energy (eV for the cell shown): -28.65
DFT formation energy (eV/atom): 0.46

POSCAR file:
```
LaScCr2
1.0
0.0000 3.5217 3.5217
3.5217 0.0000 3.5217
3.5217 3.5217 0.0000
La Cr Sc
1 2 1
Direct
0.5000 0.5000 0.5000
0.2500 0.2500 0.2500
0.7500 0.7500 0.7500
0.0000 0.0000 0.0000
```



4.
## Zr4GePt (PBE-GGA)

Data for a relaxed Zr4GePt crystal.

Summary:
VASP energy (eV for the cell shown): -95.64
DFT formation energy (eV/atom): -0.49

POSCAR file:
```
Zr4GePt
1.0
6.0100 0.0000 -3.0658
-1.5639 5.8030 -3.0658
-0.0413 -0.0539 7.3428
Zr Pt Ge
8 2 2
Direct
0.5218 0.0218 0.7267
0.2049 0.7049 0.7267
0.2951 0.4782 0.2733
0.7951 0.2951 0.2733
0.0218 0.2049 0.7267
0.4782 0.9782 0.2733
0.7049 0.5218 0.7267
0.9782 0.7951 0.2733
0.2500 0.2500 0.5000
0.7500 0.7500 0.5000
0.0000 0.0000 0.0000
0.5000 0.5000 0.0000
```



5.
## TiCu4Pb (PBE-GGA)

Data for a relaxed TiCu4Pb crystal.

Summary:
VASP energy (eV for the cell shown): -27.31
DFT formation energy (eV/atom): 0.11

POSCAR file:
```
TiCu4Pb
1.0
5.0459 0.0000 0.0000
2.5230 4.3699 0.0000
2.5230 1.4566 4.1200
Pb Cu Ti
1 4 1
Direct
0.0000 0.0000 0.0000
0.6239 0.1282 0.6239
0.6239 0.6239 0.1282
0.6239 0.6239 0.6239
0.1282 0.6239 0.6239
0.2500 0.2500 0.2500
```



6.
## Tb2Tl5F12 (PBE-GGA)

Data for a relaxed Tb2Tl5F12 crystal.

Summary:
VASP energy (eV for the cell shown): -95.55

POSCAR file:
```
Tb2Tl5F12
1.0
-0.5978 6.2055 1.4483
-1.2325 -0.9776 8.1742
6.2721 0.3789 5.4599
F Tl Tb
12 5 2
Direct
0.1722 0.1618 0.5530
0.8278 0.4470 0.8382
0.1722 0.5530 0.1618
0.8278 0.8382 0.4470
0.2624 0.2795 0.8935
0.1591 0.9386 0.9386
0.8409 0.0614 0.0614
0.7376 0.7205 0.1065
0.7376 0.1065 0.7205
0.1953 0.5151 0.5151
0.2624 0.8935 0.2795
0.8047 0.4849 0.4849
0.0085 0.2272 0.2272
0.4951 0.3583 0.3583
0.5000 0.0000 0.0000
0.5049 0.6417 0.6417
0.9915 0.7728 0.7728
0.0000 0.2588 0.7412
0.0000 0.7412 0.2588
```



7.
## ZnAg2P (PBE-GGA)

Data for a relaxed ZnAg2P crystal.

Summary:
VASP energy (eV for the cell shown): -11.67
DFT formation energy (eV/atom): 0.18

POSCAR file:
```
ZnAg2P
1.0
-1.9819 1.9819 4.2055
1.9819 -1.9819 4.2055
1.9819 1.9819 -4.2055
Ag Zn P
2 1 1
Direct
0.2500 0.7500 0.5000
0.0000 0.0000 0.0000
0.7500 0.2500 0.5000
0.5000 0.5000 0.0000
```



8.
## PuSbPd2 (PBE-GGA)

Data for a relaxed PuSbPd2 crystal.

Summary:
VASP energy (eV for the cell shown): -31.02

POSCAR file:
```
PuSbPd2
1.0
4.8566 0.0000 0.0000
2.4283 4.2060 0.0000
2.4283 1.4020 3.9654
Pd Pu Sb
2 1 1
Direct
0.7500 0.7500 0.7500
0.2500 0.2500 0.2500
0.0000 0.0000 0.0000
0.5000 0.5000 0.5000
```



9.
## TbPrH (PBE-GGA)

Data for a relaxed TbPrH crystal.

Summary:
VASP energy (eV for the cell shown): -25.72

POSCAR file:
```
TbPrH
1.0
-1.5414 0.0268 5.7285
-2.2578 -2.4668 -0.5960
5.9347 -3.4615 1.5244
H Tb Pr
2 2 2
Direct
0.5889 0.4313 0.8625
0.4111 0.5687 0.1375
0.7315 0.0662 0.1324
0.2685 0.9338 0.8676
0.7580 0.8115 0.6230
0.2420 0.1885 0.3770
```



10.
## La6Nd5Sm (PBE-GGA)

Data for a relaxed La6Nd5Sm crystal.

Summary:
VASP energy (eV for the cell shown): -57.96
DFT formation energy (eV/atom): 0.01

POSCAR file:
```
La6Nd5Sm
1.0
11.5084 -1.6118 0.0000
3.0192 4.3118 0.0000
1.5096 2.1559 7.9220
La Nd Sm
6 5 1
Direct
0.7511 0.7489 0.0000
0.2489 0.2511 0.0000
0.2498 0.9166 0.6671
0.7502 0.4163 0.6671
0.2498 0.5837 0.3329
0.7502 0.0834 0.3329
0.5000 0.5000 0.0000
0.0000 0.3336 0.3327
0.5000 0.1667 0.6666
0.5000 0.8333 0.3334
0.0000 0.6664 0.6673
0.0000 0.0000 0.0000
```



11.
## Mg2ZnIn (PBE-GGA)

Data for a relaxed Mg2ZnIn crystal.

Summary:
VASP energy (eV for the cell shown): -7.35
DFT formation energy (eV/atom): -0.04

POSCAR file:
```
Mg2ZnIn
1.0
5.4745 -0.1190 0.4188
4.4373 3.2084 0.4188
1.2616 0.3932 4.8367
Mg Zn In
2 1 1
Direct
0.7670 0.7670 0.7010
0.9943 0.9943 0.0265
0.5057 0.5057 0.5410
0.2330 0.2330 0.2314
```



12.
## Mn2AlTe (PBE-GGA)

Data for a relaxed Mn2AlTe crystal.

Summary:
VASP energy (eV for the cell shown): -23.30

POSCAR file:
```
Mn2AlTe
1.0
-3.0817 -1.4618 -3.0963
-2.6854 -3.6192 0.9546
-4.5014 0.6102 0.7653
Al Mn Te
1 2 1
Direct
0.5000 0.5000 0.5000
0.0000 0.0000 0.0000
0.2500 0.2500 0.2500
0.7500 0.7500 0.7500
```



13.
## Th4BiPb (PBE-GGA)

Data for a relaxed Th4BiPb crystal.

Summary:
VASP energy (eV for the cell shown): -75.32
DFT formation energy (eV/atom): -0.07

POSCAR file:
```
Th4BiPb
1.0
-1.9508 5.2658 0.7412
-4.5707 -1.0343 -4.6816
-6.2939 -6.4434 7.5684
Th Pb Bi
8 2 2
Direct
0.1352 0.8215 0.2704
0.7085 0.0631 0.4170
0.2915 0.5631 0.5830
0.7083 0.5809 0.4167
0.2917 0.0809 0.5833
0.8648 0.3215 0.7296
0.4267 0.8232 0.8534
0.5733 0.3232 0.1466
0.1530 0.3216 0.3059
0.8470 0.8216 0.6941
0.5676 0.8232 0.1351
0.4324 0.3232 0.8649
```



14.
## Zn2PdPt5 (PBE-GGA)

Data for a relaxed Zn2PdPt5 crystal.

Summary:
VASP energy (eV for the cell shown): -81.35
DFT formation energy (eV/atom): -0.34

POSCAR file:
```
Zn2PdPt5
1.0
3.9271 0.0000 0.0000
0.0000 5.5542 0.0000
0.0000 0.0000 11.0970
Pt Pd Zn
10 2 4
Direct
0.0000 0.9934 0.7510
0.0000 0.5066 0.2510
0.5000 0.2472 0.8741
0.5000 0.7472 0.6259
0.5000 0.2528 0.3741
0.0000 0.4934 0.7490
0.0000 0.5000 0.5000
0.0000 0.0066 0.2490
0.5000 0.7528 0.1259
0.0000 0.0000 0.0000
0.0000 0.0000 0.5000
0.0000 0.5000 0.0000
0.5000 0.2451 0.6237
0.5000 0.7451 0.8763
0.5000 0.7549 0.3763
0.5000 0.2549 0.1237
```



15.
## Au2SeCl (PBE-GGA)

Data for a relaxed Au2SeCl crystal.

Summary:
VASP energy (eV for the cell shown): -11.03

POSCAR file:
```
Au2SeCl
1.0
-4.9606 -5.8415 0.4823
-0.1302 -7.5097 1.5972
2.1501 7.2199 1.4875
Au Cl Se
2 1 1
Direct
0.2500 0.7500 0.5000
0.0000 0.0000 0.0000
0.5000 0.5000 0.0000
0.7500 0.2500 0.5000
```



16.
## YMn3N (PBE-GGA)

Data for a relaxed YMn3N crystal.

Summary:
VASP energy (eV for the cell shown): -42.51

POSCAR file:
```
YMn3N
1.0
3.9937 0.0000 0.0000
0.0000 3.9937 0.0000
0.0000 0.0000 3.9937
Y Mn N
1 3 1
Direct
0.5000 0.5000 0.5000
0.0000 0.0000 0.5000
0.5000 0.0000 0.0000
0.0000 0.5000 0.0000
0.0000 0.0000 0.0000
```



17.
## RbGeH (PBE-GGA)

Data for a relaxed RbGeH crystal.

Summary:
VASP energy (eV for the cell shown): -18.87

POSCAR file:
```
RbGeH
1.0
5.3948 0.0018 -1.0231
-0.0022 4.2330 -0.0011
-1.6370 -0.0017 7.1293
Rb H Ge
2 2 2
Direct
0.4420 0.2159 0.6943
0.1812 0.7157 0.0984
0.0661 0.2158 0.2904
0.5570 0.7158 0.5023
0.7627 0.2170 0.2763
0.8607 0.7170 0.5170
```



18.
## ZnSbSe (PBE-GGA)

Data for a relaxed ZnSbSe crystal.

Summary:
VASP energy (eV for the cell shown): -8.83

POSCAR file:
```
ZnSbSe
1.0
6.0201 0.0247 0.0000
3.8564 4.6228 0.0000
-4.9382 -2.3238 2.5409
Se Sb Zn
1 1 1
Direct
0.2784 0.2784 0.0000
0.0292 0.0292 0.0000
0.6924 0.6924 0.0000
```



19.
## PaV4Sb (PBE-GGA)

Data for a relaxed PaV4Sb crystal.

Summary:
VASP energy (eV for the cell shown): -49.26

POSCAR file:
```
PaV4Sb
1.0
5.2726 0.0000 0.0000
2.6363 4.5662 0.0000
2.6363 1.5221 4.3051
V Sb Pa
4 1 1
Direct
0.6209 0.1374 0.6209
0.1374 0.6209 0.6209
0.6209 0.6209 0.6209
0.6209 0.6209 0.1374
0.0000 0.0000 0.0000
0.2500 0.2500 0.2500
```



20.
## Al2TcTePt (PBE-GGA)

Data for a relaxed Al2TcTePt crystal.

Summary:
VASP energy (eV for the cell shown): -24.29

POSCAR file:
```
Al2TcTePt
1.0
4.8053 0.0000 0.0000
0.0000 4.8668 0.0000
0.0000 0.0000 4.8053
Pt Te Tc Al
1 1 1 2
Direct
0.0000 0.5000 0.0000
0.5000 0.5000 0.5000
0.0000 0.0000 0.0000
0.5000 0.0000 0.0000
0.0000 0.0000 0.5000
```